The following is a DFT calculation (GGA-PBE) of a geometry-optimized RbLa2MgBe structure.

a b c (Å): 6.0120 6.0120 6.4317
angles (deg): 90.00 90.00 90.00
Last column: nearest neighbours and their distance in Å.
Space group P4/mmm (No. 123)
Asymmetric unit:
Rb 0.0000 0.0000 0.0000 (multiplicity 1)  2 Mg 3.22
La 0.0000 0.5000 0.5000 (multiplicity 2)  2 Mg 3.01
Mg 0.0000 0.0000 0.5000 (multiplicity 1)  4 La 3.01, 2 Rb 3.22
Be 0.5000 0.5000 0.0000 (multiplicity 1)  4 Rb 4.25, 8 La 4.40

Results
energy of formation	1.1982	eV/atom